## SmZnRh2 (PBE)

Data for a relaxed SmZnRh2 crystal.

a b c (Å): 7.4141 5.8088 8.2257
angles (deg): 90.00 90.00 90.00
Atoms (fractional coordinates):
Sm 0.0000 0.2500 0.6957
Sm 0.5000 0.7500 0.2164
Sm 0.0000 0.7500 0.3043
Sm 0.5000 0.2500 0.7836
Zn 0.5000 0.7500 0.7348
Zn 0.5000 0.2500 0.2652
Zn 0.0000 0.2500 0.2638
Zn 0.0000 0.7500 0.7362
Rh 0.0000 0.0000 0.0000
Rh 0.5000 0.5000 0.5000
Rh 0.2901 0.7500 0.9622
Rh 0.7099 0.2500 0.0378
Rh 0.7099 0.7500 0.9622
Rh 0.2901 0.2500 0.0378
Rh 0.0000 0.5000 0.0000
Rh 0.5000 0.0000 0.5000

Values from the calculation:
total DFT energy (no corrections)	-5.18	eV/atom
magnetic moment	0.00	μB/atom
energy relative to the elements	-0.04	eV/f.u.